[1]
A plane-wave DFT calculation with GGA-PBE was carried out for crystalline NdHgGeAu at its relaxed geometry.

## Properties
* crystal system: cubic
* E_form: -0.4168 eV per atom
* DOS(E_F): 0.33 states/eV per atom

a = 5.054 Å, b = 5.054 Å, c = 5.054 Å
α = 60.00°, β = 60.00°, γ = 60.00°
Fractional coordinates of all 4 atoms:
Nd (0.000, 0.000, 0.000)
Hg (0.500, 0.500, 0.500)
Ge (0.250, 0.250, 0.250)
Au (0.750, 0.750, 0.750)

[2]
A plane-wave DFT calculation with GGA-PBE was carried out for crystalline HfFe3As at its relaxed geometry.

## Properties
* crystal system: cubic
* E_form: 0.4086 eV per atom
* DOS(E_F): 1.95 states/eV per atom

a = 4.341 Å, b = 4.341 Å, c = 4.341 Å
α = 90.00°, β = 90.00°, γ = 90.00°
Fractional coordinates of all 5 atoms:
Hf (0.000, 0.000, 0.000)
Fe (0.000, 0.500, 0.500)
Fe (0.500, 0.000, 0.500)
Fe (0.500, 0.500, 0.000)
As (0.500, 0.500, 0.500)